The following is a GGA-PBE calculation of crystalline Sc2Au at its relaxed geometry, from Alexandria via LeMat-Bulk.

Cell lengths 4.680, 6.552, 8.405 Å; angles 90.00, 90.00, 90.00 degrees
Element x y z (fractional)
Sc 0.750 0.344 0.577
Sc 0.750 0.983 0.313
Sc 0.250 0.517 0.813
Sc 0.250 0.156 0.077
Sc 0.250 0.017 0.687
Sc 0.750 0.844 0.923
Sc 0.750 0.483 0.187
Sc 0.250 0.656 0.423
Au 0.750 0.259 0.901
Au 0.250 0.241 0.401
Au 0.250 0.741 0.099
Au 0.750 0.759 0.599

Results
- ΔH_f (0 K): -650 meV/atom
- Calculated volume: 257.7 Å³/cell
- Space-group type: No. 62